[1]
The following is a DFT calculation (GGA-PBE) of NaFeCuSe3 after structural relaxation.

a b c (Å): 3.608 13.206 9.737
angles (deg): 90.00 90.00 90.00
Space group Cmcm (No. 63)
Symmetry-distinct sites (fractional):
1 Na 0.000 0.241 0.250 (multiplicity 4)
2 Fe 0.000 0.000 0.000 (multiplicity 4)
3 Cu 0.000 0.455 0.750 (multiplicity 4)
4 Se 0.000 0.074 0.750 (multiplicity 4)
5 Se 0.000 0.374 0.533 (multiplicity 8)

Calculated values
Magnetization (μB/f.u.): 2.2
E above lowest polymorph (meV/atom): 50
Total DFT energy (no corrections) (eV/atom): -4.33



[2]
The following is a DFT calculation (GGA-PBE) of NaFeCuTeSe2 after structural relaxation.

a b c (Å): 3.561 14.112 10.037
angles (deg): 90.00 90.00 90.00
Space group Cmcm (No. 63)
Symmetry-distinct sites (fractional):
1 Na 0.000 0.227 0.250 (multiplicity 4)
2 Fe 0.000 0.000 0.000 (multiplicity 4)
3 Cu 0.000 0.450 0.750 (multiplicity 4)
4 Te 0.000 0.082 0.750 (multiplicity 4)
5 Se 0.000 0.379 0.537 (multiplicity 8)

Calculated values
Magnetization (μB/f.u.): 2.1
Total DFT energy (no corrections) (eV/atom): -4.22



[3]
The following is a DFT calculation (GGA-PBE) of NbFeCu after structural relaxation.

a b c (Å): 5.790 5.790 5.790
angles (deg): 90.00 90.00 90.00
Space group F-43m (No. 216)
Symmetry-distinct sites (fractional):
1 Nb 0.000 0.000 0.000 (multiplicity 4)
2 Fe 0.250 0.250 0.750 (multiplicity 4)
3 Cu 0.250 0.250 0.250 (multiplicity 4)

Calculated values
Magnetization (μB/f.u.): 0.0
E above lowest polymorph (meV/atom): 319
Total DFT energy (no corrections) (eV/atom): -6.56
DFT formation energy (kJ per mole of atoms): 78.5



[4]
The following is a DFT calculation (GGA-PBE) of Nb2FeCu after structural relaxation.

a b c (Å): 6.172 6.172 6.172
angles (deg): 90.00 90.00 90.00
Space group F-43m (No. 216)
Symmetry-distinct sites (fractional):
1 Nb 0.000 0.000 0.000 (multiplicity 4)
2 Nb 0.250 0.250 0.250 (multiplicity 4)
3 Fe 0.250 0.250 0.750 (multiplicity 4)
4 Cu 0.000 0.000 0.500 (multiplicity 4)

Calculated values
Magnetization (μB/f.u.): 0.9
Total DFT energy (no corrections) (eV/atom): -7.77
DFT formation energy (kJ per mole of atoms): 27.7



[5]
The following is a DFT calculation (GGA-PBE) of NbFeCu after structural relaxation.

a b c (Å): 5.699 5.699 5.699
angles (deg): 90.00 90.00 90.00
Space group F-43m (No. 216)
Symmetry-distinct sites (fractional):
1 Nb 0.000 0.000 0.000 (multiplicity 4)
2 Fe 0.250 0.250 0.750 (multiplicity 4)
3 Cu 0.000 0.000 0.500 (multiplicity 4)

Calculated values
Magnetization (μB/f.u.): 0.0
E above lowest polymorph (meV/atom): 0
Total DFT energy (no corrections) (eV/atom): -6.88
DFT formation energy (kJ per mole of atoms): 47.6



[6]
The following is a DFT calculation (GGA-PBE) of NbFeCuSb after structural relaxation.

a b c (Å): 6.361 6.361 6.361
angles (deg): 90.00 90.00 90.00
Space group F-43m (No. 216)
Symmetry-distinct sites (fractional):
1 Nb 0.000 0.000 0.000 (multiplicity 4)
2 Fe 0.250 0.250 0.750 (multiplicity 4)
3 Cu 0.000 0.000 0.500 (multiplicity 4)
4 Sb 0.250 0.250 0.250 (multiplicity 4)

Calculated values
Magnetization (μB/f.u.): 1.3
E above lowest polymorph (meV/atom): 112
Total DFT energy (no corrections) (eV/atom): -6.30



[7]
The following is a DFT calculation (GGA-PBE) of NbFeCuSb after structural relaxation.

a b c (Å): 6.245 6.245 6.245
angles (deg): 90.00 90.00 90.00
Space group F-43m (No. 216)
Symmetry-distinct sites (fractional):
1 Nb 0.000 0.000 0.000 (multiplicity 4)
2 Fe 0.250 0.250 0.250 (multiplicity 4)
3 Cu 0.250 0.250 0.750 (multiplicity 4)
4 Sb 0.000 0.000 0.500 (multiplicity 4)

Calculated values
Magnetization (μB/f.u.): 0.9
E above lowest polymorph (meV/atom): 0
Total DFT energy (no corrections) (eV/atom): -6.41



[8]
The following is a DFT calculation (GGA-PBE) of NbFeCuSi after structural relaxation.

a b c (Å): 5.988 5.988 5.988
angles (deg): 90.00 90.00 90.00
Space group F-43m (No. 216)
Symmetry-distinct sites (fractional):
1 Nb 0.000 0.000 0.000 (multiplicity 4)
2 Fe 0.000 0.000 0.500 (multiplicity 4)
3 Cu 0.250 0.250 0.750 (multiplicity 4)
4 Si 0.250 0.250 0.250 (multiplicity 4)

Calculated values
Magnetization (μB/f.u.): 2.1
E above lowest polymorph (meV/atom): 133
Total DFT energy (no corrections) (eV/atom): -6.92



[9]
The following is a DFT calculation (GGA-PBE) of NbFeCuSi after structural relaxation.

a b c (Å): 5.964 5.964 5.964
angles (deg): 90.00 90.00 90.00
Space group F-43m (No. 216)
Symmetry-distinct sites (fractional):
1 Nb 0.000 0.000 0.000 (multiplicity 4)
2 Fe 0.250 0.250 0.750 (multiplicity 4)
3 Cu 0.000 0.000 0.500 (multiplicity 4)
4 Si 0.250 0.250 0.250 (multiplicity 4)

Calculated values
Magnetization (μB/f.u.): 0.9
E above lowest polymorph (meV/atom): 113
Total DFT energy (no corrections) (eV/atom): -6.94



[10]
The following is a DFT calculation (GGA-PBE) of NbFeCuSi after structural relaxation.

a b c (Å): 5.917 5.917 5.917
angles (deg): 90.00 90.00 90.00
Space group F-43m (No. 216)
Symmetry-distinct sites (fractional):
1 Nb 0.000 0.000 0.000 (multiplicity 4)
2 Fe 0.250 0.250 0.250 (multiplicity 4)
3 Cu 0.250 0.250 0.750 (multiplicity 4)
4 Si 0.000 0.000 0.500 (multiplicity 4)

Calculated values
Magnetization (μB/f.u.): 0.0
E above lowest polymorph (meV/atom): 0
Total DFT energy (no corrections) (eV/atom): -7.05



[11]
The following is a DFT calculation (GGA-PBE) of NdFeCuSi2 after structural relaxation.

a b c (Å): 4.066 4.066 9.877
angles (deg): 90.00 90.00 90.00
Space group I-4m2 (No. 119)
Symmetry-distinct sites (fractional):
1 Nd 0.000 0.000 0.000 (multiplicity 2)
2 Fe 0.000 0.500 0.250 (multiplicity 2)
3 Cu 0.000 0.500 0.750 (multiplicity 2)
4 Si 0.000 0.000 0.374 (multiplicity 4)

Calculated values
Magnetization (μB/f.u.): 1.9
Total DFT energy (no corrections) (eV/atom): -6.08



[12]
The following is a DFT calculation (GGA-PBE) of FeCuNiS3 after structural relaxation.

a b c (Å): 6.561 3.375 9.310
angles (deg): 90.00 100.48 90.00
Space group P2_1/m (No. 11)
Symmetry-distinct sites (fractional):
1 Fe 0.222 0.250 0.204 (multiplicity 2)
2 Cu 0.387 0.750 0.420 (multiplicity 2)
3 Ni 0.066 0.250 0.919 (multiplicity 2)
4 S 0.047 0.750 0.317 (multiplicity 2)
5 S 0.264 0.750 0.024 (multiplicity 2)
6 S 0.447 0.750 0.679 (multiplicity 2)

Calculated values
Magnetization (μB/f.u.): 2.9
Total DFT energy (no corrections) (eV/atom): -5.22



[13]
The following is a DFT calculation (GGA-PBE) of FeCuNiSb after structural relaxation.

a b c (Å): 5.990 5.990 5.990
angles (deg): 90.00 90.00 90.00
Space group F-43m (No. 216)
Symmetry-distinct sites (fractional):
1 Fe 0.000 0.000 0.000 (multiplicity 4)
2 Cu 0.250 0.250 0.250 (multiplicity 4)
3 Ni 0.000 0.000 0.500 (multiplicity 4)
4 Sb 0.250 0.250 0.750 (multiplicity 4)

Calculated values
Magnetization (μB/f.u.): 1.7
E above lowest polymorph (meV/atom): 0
Total DFT energy (no corrections) (eV/atom): -5.37



[14]
The following is a DFT calculation (GGA-PBE) of FeCuNiTe3 after structural relaxation.

a b c (Å): 7.514 3.695 10.079
angles (deg): 90.00 107.07 90.00
Space group P2_1/m (No. 11)
Symmetry-distinct sites (fractional):
1 Fe 0.209 0.250 0.199 (multiplicity 2)
2 Cu 0.403 0.750 0.414 (multiplicity 2)
3 Ni 0.043 0.250 0.931 (multiplicity 2)
4 Te 0.046 0.750 0.326 (multiplicity 2)
5 Te 0.279 0.750 0.016 (multiplicity 2)
6 Te 0.425 0.750 0.682 (multiplicity 2)

Calculated values
Magnetization (μB/f.u.): 2.9
Total DFT energy (no corrections) (eV/atom): -4.61



[15]
The following is a DFT calculation (GGA-PBE) of TlFeCuNi after structural relaxation.

a b c (Å): 6.132 6.132 6.132
angles (deg): 90.00 90.00 90.00
Space group F-43m (No. 216)
Symmetry-distinct sites (fractional):
1 Tl 0.000 0.000 0.000 (multiplicity 4)
2 Fe 0.250 0.250 0.750 (multiplicity 4)
3 Cu 0.250 0.250 0.250 (multiplicity 4)
4 Ni 0.000 0.000 0.500 (multiplicity 4)

Calculated values
Magnetization (μB/f.u.): 3.1
E above lowest polymorph (meV/atom): 47
Total DFT energy (no corrections) (eV/atom): -4.62



[16]
The following is a DFT calculation (GGA-PBE) of TlFeCuNi after structural relaxation.

a b c (Å): 6.113 6.113 6.113
angles (deg): 90.00 90.00 90.00
Space group F-43m (No. 216)
Symmetry-distinct sites (fractional):
1 Tl 0.000 0.000 0.000 (multiplicity 4)
2 Fe 0.000 0.000 0.500 (multiplicity 4)
3 Cu 0.250 0.250 0.250 (multiplicity 4)
4 Ni 0.250 0.250 0.750 (multiplicity 4)

Calculated values
Magnetization (μB/f.u.): 3.3
E above lowest polymorph (meV/atom): 0
Total DFT energy (no corrections) (eV/atom): -4.66



[17]
The following is a DFT calculation (GGA-PBE) of ZnFeCuNi after structural relaxation.

a b c (Å): 5.754 5.754 5.754
angles (deg): 90.00 90.00 90.00
Space group F-43m (No. 216)
Symmetry-distinct sites (fractional):
1 Zn 0.000 0.000 0.000 (multiplicity 4)
2 Fe 0.000 0.000 0.500 (multiplicity 4)
3 Cu 0.250 0.250 0.750 (multiplicity 4)
4 Ni 0.250 0.250 0.250 (multiplicity 4)

Calculated values
Magnetization (μB/f.u.): 3.0
E above lowest polymorph (meV/atom): 0
Total DFT energy (no corrections) (eV/atom): -4.72
DFT formation energy (kJ per mole of atoms): -0.9



[18]
The following is a DFT calculation (GGA-PBE) of Zn2FeCu4Ni after structural relaxation.

a b c (Å): 4.114 4.114 5.688
angles (deg): 90.00 90.00 90.00
Space group P4/mmm (No. 123)
Symmetry-distinct sites (fractional):
1 Zn 0.000 0.000 0.000 (multiplicity 1)
2 Zn 0.500 0.500 0.500 (multiplicity 1)
3 Fe 0.000 0.000 0.500 (multiplicity 1)
4 Cu 0.000 0.500 0.250 (multiplicity 4)
5 Ni 0.500 0.500 0.000 (multiplicity 1)

Calculated values
Magnetization (μB/f.u.): 2.6
E above lowest polymorph (meV/atom): 0
Total DFT energy (no corrections) (eV/atom): -3.87
DFT formation energy (kJ per mole of atoms): 3.4



[19]
The following is a DFT calculation (GGA-PBE) of ZnFeCuNi after structural relaxation.

a b c (Å): 5.746 5.746 5.746
angles (deg): 90.00 90.00 90.00
Space group F-43m (No. 216)
Symmetry-distinct sites (fractional):
1 Zn 0.000 0.000 0.000 (multiplicity 4)
2 Fe 0.250 0.250 0.750 (multiplicity 4)
3 Cu 0.250 0.250 0.250 (multiplicity 4)
4 Ni 0.000 0.000 0.500 (multiplicity 4)

Calculated values
Magnetization (μB/f.u.): 2.9
E above lowest polymorph (meV/atom): 20
Total DFT energy (no corrections) (eV/atom): -4.70
DFT formation energy (kJ per mole of atoms): 1.0



[20]
The following is a DFT calculation (GGA-PBE) of NpFeCu after structural relaxation.

a b c (Å): 5.854 5.854 5.854
angles (deg): 90.00 90.00 90.00
Space group F-43m (No. 216)
Symmetry-distinct sites (fractional):
1 Np 0.000 0.000 0.000 (multiplicity 4)
2 Fe 0.250 0.250 0.250 (multiplicity 4)
3 Cu 0.000 0.000 0.500 (multiplicity 4)

Calculated values
Magnetization (μB/f.u.): 0.0
E above lowest polymorph (meV/atom): 0
Total DFT energy (no corrections) (eV/atom): -7.53
DFT formation energy (kJ per mole of atoms): 71.3